Record 1
{
  "formula": "VZnBi2F",
  "functional": "PBE with a Hubbard U",
  "state": "optimized geometry",
  "volume_a3_per_cell": 136.79,
  "e_tot_ev_per_cell": -16.980,
  "magnetic_moment_mub_per_cell": 1.757,
  "cell": [[-3.2283, 0.1108, -4.1010], [2.3982, -3.9329, -1.9941], [-3.2572, -3.2419, 2.4765]],
  "species": ["V", "F", "Bi", "Bi", "Zn"],
  "frac_coords": [[0.0000, 0.0000, 0.0000], [0.5000, 0.5000, 0.5000], [0.5000, 0.0000, 0.0000], [0.0000, 0.0000, 0.5000], [0.0000, 0.5000, 0.0000]]
}

=====

Record 2
{
  "formula": "LiLa2CoO6",
  "functional": "PBE with a Hubbard U",
  "state": "optimized geometry",
  "volume_a3_per_cell": 223.82,
  "e_tot_ev_per_cell": -138.561,
  "magnetic_moment_mub_per_cell": 4.038,
  "cell": [[-2.1081, -3.7030, -3.4227], [4.7192, -0.1403, -2.7549], [2.4378, -5.5067, 4.4563]],
  "species": ["O", "O", "O", "O", "O", "O", "O", "O", "O", "O", "O", "O", "La", "La", "La", "La", "Co", "Co", "Li", "Li"],
  "frac_coords": [[0.7420, 0.4920, 0.5000], [0.2580, 0.4920, 0.5000], [0.5000, 0.2500, 0.7391], [0.7579, 0.9919, 0.0000], [0.7421, 0.0081, 0.5000], [0.2579, 0.0081, 0.5000], [0.7580, 0.5080, 0.0000], [0.2421, 0.9919, 0.0000], [0.2420, 0.5080, 0.0000], [0.0000, 0.7500, 0.2391], [0.5000, 0.2500, 0.2609], [0.0000, 0.7500, 0.7609], [0.0000, 0.2499, 0.2500], [0.5000, 0.7501, 0.2500], [0.0000, 0.2499, 0.7500], [0.5000, 0.7501, 0.7500], [0.5000, 0.2501, 0.5000], [0.0000, 0.7499, 0.0000], [0.5000, 0.2501, 0.0000], [0.0000, 0.7499, 0.5000]]
}